[1]
Density functional theory data (GGA-PBE) for a relaxed structure of TiW7.

Cell lengths 8.9971, 8.9971, 11.0188 Å; angles 90.00, 90.00, 120.00 degrees
Last column: nearest neighbours and their distance in Å.
Space group R-3m (No. 166, hexagonal axes)
Symmetry-distinct sites (fractional):
Ti: 0.0000 0.0000 0.1259  7 W 2.75-2.76, 1 Ti 2.77
W: 0.0000 0.0000 0.3762  7 W 2.73-2.75, 1 Ti 2.76
W: 0.0000 0.5000 0.1248  7 W 2.75-2.76, 1 Ti 2.75
W: 0.0008 0.5004 0.3752  7 W 2.75-2.76, 1 Ti 2.76

Values from the calculation:
Crystal system = trigonal

[2]
Density functional theory data (GGA-PBE) for a relaxed structure of TiW4.

Cell lengths 13.0248, 4.4820, 2.7811 Å; angles 90.00, 98.33, 90.00 degrees
Last column: nearest neighbours and their distance in Å.
Space group C2/m (No. 12)
Symmetry-distinct sites (fractional):
Ti: 0.0000 0.0000 0.0000  6 W 2.74-2.76, 2 Ti 2.78
W: 0.1006 0.5000 0.4070  6 W 2.72-2.78, 2 Ti 2.76
W: 0.1992 0.0000 0.7921  7 W 2.72-2.78, 1 Ti 2.74

Values from the calculation:
Crystal system = monoclinic
ΔE to the lowest computed polymorph = 0 meV/atom

[3]
Density functional theory data (GGA-PBE) for a relaxed structure of Ti4W.

Cell lengths 5.2178, 4.6171, 7.1324 Å; angles 90.00, 101.60, 90.00 degrees
Last column: nearest neighbours and their distance in Å.
Space group P2_1/m (No. 11)
Symmetry-distinct sites (fractional):
Ti: 0.0340 0.2500 0.3462  3 W 2.64-2.85, 4 Ti 2.82-2.88
Ti: 0.1374 0.7500 0.0771  1 W 2.74, 8 Ti 2.81-3.02
Ti: 0.2910 0.2500 0.7332  1 W 2.55, 7 Ti 2.74-2.85
Ti: 0.4509 0.2500 0.1367  7 Ti 2.74-2.88, 1 W 2.85
W: 0.3481 0.7500 0.4611  6 Ti 2.55-2.85, 2 W 2.79

Values from the calculation:
Crystal system = monoclinic
ΔE to the lowest computed polymorph = 0 meV/atom

[4]
Density functional theory data (GGA-PBE) for a relaxed structure of TiW5.

Cell lengths 4.5090, 13.4622, 3.1741 Å; angles 90.00, 90.00, 90.00 degrees
Last column: nearest neighbours and their distance in Å.
Space group Cmmm (No. 65)
Symmetry-distinct sites (fractional):
Ti: 0.0000 0.0000 0.0000  8 W 2.76
W: 0.0000 0.1678 0.5000  6 W 2.74-2.76, 2 Ti 2.76
W: 0.0000 0.3341 0.0000  8 W 2.74-2.76
W: 0.0000 0.5000 0.5000  4 W 2.74, 4 Ti 2.76

Values from the calculation:
Crystal system = orthorhombic

[5]
Density functional theory data (GGA-PBE) for a relaxed structure of TiW4.

Cell lengths 4.5121, 4.5121, 4.5121 Å; angles 90.00, 90.00, 90.00 degrees
Last column: nearest neighbours and their distance in Å.
Space group Pm-3m (No. 221)
Symmetry-distinct sites (fractional):
Ti: 0.0000 0.0000 0.0000  6 W 2.26
W: 0.0000 0.0000 0.5000  2 Ti 2.26
W: 0.5000 0.5000 0.5000  12 W 3.19

Values from the calculation:
Crystal system = cubic
ΔE to the lowest computed polymorph = 2071 meV/atom

[6]
Density functional theory data (GGA-PBE) for a relaxed structure of YTi2W4.

Cell lengths 4.7271, 4.7271, 13.2538 Å; angles 90.00, 90.00, 90.00 degrees
Last column: nearest neighbours and their distance in Å.
Space group I4/mmm (No. 139)
Symmetry-distinct sites (fractional):
Y: 0.0000 0.0000 0.0000  6 W 2.36-2.64
Ti: 0.0000 0.0000 0.3812  1 W 2.41
W: 0.0000 0.0000 0.1994  1 Ti 2.41, 1 Y 2.64
W: 0.0000 0.5000 0.0000  2 Y 2.36

Values from the calculation:
Crystal system = tetragonal

[7]
Density functional theory data (GGA-PBE) for a relaxed structure of YTiW4.

Cell lengths 7.6680, 7.6680, 7.6680 Å; angles 90.00, 90.00, 90.00 degrees
Last column: nearest neighbours and their distance in Å.
Space group F-43m (No. 216)
Symmetry-distinct sites (fractional):
Y: 0.0000 0.0000 0.0000  12 W 3.18, 4 Ti 3.32
Ti: 0.2500 0.2500 0.7500  12 W 3.18, 4 Y 3.32
W: 0.1251 0.1251 0.3749  6 W 2.71

Values from the calculation:
Crystal system = cubic

[8]
Density functional theory data (GGA-PBE) for a relaxed structure of YTiW3.

Cell lengths 4.7034, 4.7034, 4.7034 Å; angles 90.00, 90.00, 90.00 degrees
Last column: nearest neighbours and their distance in Å.
Space group Pm-3m (No. 221)
Symmetry-distinct sites (fractional):
Y: 0.0000 0.0000 0.0000  12 W 3.33
Ti: 0.5000 0.5000 0.5000  6 W 2.35
W: 0.0000 0.5000 0.5000  2 Ti 2.35

Values from the calculation:
Crystal system = cubic
ΔE to the lowest computed polymorph = 0 meV/atom

DFT formation energy values, unit eV/atom, following the record order: -0.072, -0.074, 0.041, -0.061, 1.998, 2.265, 0.129, 1.404.
Total DFT energy (no corrections) values, unit Ha/atom, following the record order: -0.4554, -0.4416, -0.3258, -0.4473, -0.3654, -0.3056, -0.4006, -0.3396.